Entry 1:
The following is a PBE calculation of a relaxed structure of Nd3Se5S12, from the Alexandria database.

The structure in extended XYZ format:
```
80
Lattice="-7.922 7.922 7.922 7.922 -7.922 7.922 7.922 7.922 -7.922" Properties=species:S:1:pos:R:3 pbc="T T T"
Nd 3.961 1.981 0.000
Nd 7.922 3.961 -1.981
Nd 1.981 0.000 3.961
Nd 9.903 0.000 3.961
Nd 0.000 3.961 1.981
Nd 3.961 -1.981 7.922
Nd 3.961 9.903 0.000
Nd 7.922 3.961 5.942
Nd -1.981 7.922 3.961
Nd 5.942 7.922 3.961
Nd 0.000 3.961 9.903
Nd 3.961 5.942 7.922
Se 0.000 0.000 0.000
Se 3.961 3.961 -3.961
Se 3.961 -3.961 3.961
Se 7.922 0.000 0.000
Se 11.883 1.981 0.000
Se 7.922 -3.961 5.942
Se 5.942 7.922 -3.961
Se 5.942 0.000 3.961
Se 3.961 5.942 0.000
Se 7.922 3.961 1.981
Se -3.961 3.961 3.961
Se 0.000 7.922 0.000
Se 0.000 0.000 7.922
Se 3.961 3.961 3.961
Se 0.000 3.961 5.942
Se 3.961 1.981 7.922
Se 1.981 7.922 3.961
Se 1.981 0.000 11.883
Se 0.000 11.883 1.981
Se -3.961 5.942 7.922
S 2.374 -0.286 0.943
S 9.509 4.904 -4.247
S 10.296 0.286 0.943
S 9.509 -3.018 4.247
S 7.637 -0.943 2.374
S 12.169 -1.587 3.018
S 0.943 2.374 -0.286
S 10.940 3.676 -1.587
S 4.904 4.247 -1.587
S 6.979 2.374 0.286
S -0.286 0.943 2.374
S 4.247 -1.587 4.904
S 7.637 6.979 -2.374
S 4.247 1.587 3.018
S 4.904 -4.247 9.509
S 6.979 -2.374 7.637
S 3.018 4.247 1.587
S 8.865 5.548 0.286
S 4.247 9.509 -3.018
S 7.637 0.943 5.548
S 2.374 7.637 -0.943
S 9.509 3.018 3.676
S 1.587 3.018 4.247
S 2.374 0.286 6.979
S 5.548 7.637 0.943
S 6.335 4.904 3.676
S -1.587 4.904 4.247
S 5.548 0.286 8.865
S 0.286 6.979 2.374
S 3.676 -1.587 10.940
S -0.943 2.374 7.637
S 4.904 3.676 6.335
S 0.943 10.296 0.286
S 3.018 12.169 -1.587
S 3.676 6.335 4.904
S 0.286 0.943 10.296
S 3.676 9.509 3.018
S 8.208 6.979 5.548
S 0.943 5.548 7.637
S 3.018 3.676 9.509
S -3.018 4.247 9.509
S 6.979 5.548 8.208
S -4.247 9.509 4.904
S 0.286 8.865 5.548
S -1.587 10.940 3.676
S -2.374 7.637 6.979
S -1.587 3.018 12.169
S 5.548 8.208 6.979
```

***

Entry 2:
The following is a PBE calculation of a relaxed structure of Nd2SeS2, from the Alexandria database.

The structure in extended XYZ format:
```
10
Lattice="2.006 -8.225 0.000 2.006 8.225 0.000 0.000 0.000 7.517" Properties=species:S:1:pos:R:3 pbc="T T T"
Nd 2.006 7.514 3.758
Nd 2.006 3.429 4.566
Nd 2.006 -3.429 0.808
Nd 2.006 -7.514 0.000
Se 2.006 6.013 6.507
Se 2.006 -6.013 2.749
S 2.006 2.913 7.431
S 2.006 0.608 5.334
S 2.006 -0.608 1.575
S 2.006 -2.913 3.672
```

***

Entry 3:
The following is a PBE calculation of a relaxed structure of Nd3SeS2, from the Alexandria database.

The structure in extended XYZ format:
```
12
Lattice="2.109 -6.939 0.000 2.109 6.939 0.000 0.000 0.000 10.860" Properties=species:S:1:pos:R:3 pbc="T T T"
Nd 2.109 5.598 8.145
Nd 2.109 1.990 6.041
Nd 2.109 1.990 10.250
Nd 2.109 -1.990 0.611
Nd 2.109 -1.990 4.819
Nd 2.109 -5.598 2.715
Se 2.109 3.525 2.715
Se 2.109 -3.525 8.145
S 0.000 0.000 0.000
S 0.000 0.000 5.430
S 2.109 0.324 8.145
S 2.109 -0.324 2.715
```

***

Entry 4:
The following is a PBE calculation of a relaxed structure of Nd3SeS2, from the Alexandria database.

The structure in extended XYZ format:
```
12
Lattice="4.126 0.000 0.000 0.000 5.833 0.000 0.000 0.000 12.373" Properties=species:S:1:pos:R:3 pbc="T T T"
Nd 0.000 0.000 0.000
Nd 0.000 0.000 4.002
Nd 0.000 0.000 8.370
Nd 2.063 2.916 2.184
Nd 2.063 2.916 6.186
Nd 2.063 2.916 10.189
Se 0.000 2.916 0.000
Se 2.063 0.000 6.186
S 0.000 2.916 4.163
S 0.000 2.916 8.210
S 2.063 0.000 2.023
S 2.063 0.000 10.349
```

***

Entry 5:
The following is a PBE calculation of a relaxed structure of Nd4Se3S, from the Alexandria database.

The structure in extended XYZ format:
```
8
Lattice="5.932 0.000 0.000 0.000 5.932 0.000 0.000 0.000 5.932" Properties=species:S:1:pos:R:3 pbc="T T T"
Nd 0.000 0.000 0.000
Nd 0.000 2.966 2.966
Nd 2.966 0.000 2.966
Nd 2.966 2.966 0.000
Se 0.000 0.000 2.966
Se 0.000 2.966 0.000
Se 2.966 0.000 0.000
S 2.966 2.966 2.966
```

***

Entry 6:
The following is a PBE calculation of a relaxed structure of Nd5Se4S, from the Alexandria database.

The structure in extended XYZ format:
```
10
Lattice="-2.096 2.096 14.921 2.096 -2.096 14.921 2.096 2.096 -14.921" Properties=species:S:1:pos:R:3 pbc="T T T"
Nd 0.000 0.000 0.000
Nd 0.000 0.000 6.070
Nd 0.000 0.000 12.102
Nd 0.000 0.000 17.741
Nd 0.000 0.000 23.773
Se 0.000 0.000 3.013
Se 0.000 0.000 9.060
Se 0.000 0.000 20.783
Se 0.000 0.000 26.830
S 0.000 0.000 14.921
```

***

Entry 7:
The following is a PBE calculation of a relaxed structure of Nd8Se3S4, from the Alexandria database.

The structure in extended XYZ format:
```
15
Lattice="5.845 -5.848 0.000 5.845 5.848 0.000 -5.818 0.000 5.845" Properties=species:S:1:pos:R:3 pbc="T T T"
Nd 5.845 3.024 0.000
Nd 2.818 0.000 0.084
Nd 0.090 0.000 2.833
Nd 2.936 2.815 2.923
Nd 2.936 -2.815 2.923
Nd 5.783 0.000 3.012
Nd 3.054 0.000 5.761
Nd 5.845 -3.024 0.000
Se -2.909 0.000 2.923
Se 2.923 2.924 0.000
Se 2.923 -2.924 0.000
S 0.000 0.000 0.000
S 0.014 2.924 2.923
S 0.014 -2.924 2.923
S 2.936 0.000 2.923
```

***

Entry 8:
The following is a PBE calculation of a relaxed structure of NdSeS2, from the Alexandria database.

The structure in extended XYZ format:
```
8
Lattice="4.372 0.000 0.000 0.000 4.372 0.000 0.000 0.000 9.698" Properties=species:S:1:pos:R:3 pbc="T T T"
Nd 1.093 1.093 1.883
Nd 3.279 3.279 7.816
Se 1.093 1.093 8.560
Se 3.279 3.279 1.138
S 1.093 3.279 3.871
S 1.093 3.279 5.828
S 3.279 1.093 3.871
S 3.279 1.093 5.828
```

***

Entry 9:
The following is a PBE calculation of a relaxed structure of Nd2SeS2, from the Alexandria database.

The structure in extended XYZ format:
```
10
Lattice="4.225 0.000 0.000 0.000 5.535 0.000 0.000 0.000 13.435" Properties=species:S:1:pos:R:3 pbc="T T T"
Nd 0.000 0.000 2.126
Nd 0.000 0.000 11.310
Nd 2.113 2.768 4.592
Nd 2.113 2.768 8.843
Se 0.000 2.768 6.718
Se 2.113 0.000 0.000
S 0.000 2.768 2.720
S 0.000 2.768 10.716
S 2.113 0.000 3.998
S 2.113 0.000 9.438
```

***

Entry 10:
The following is a PBE calculation of a relaxed structure of Nd4Se5S, from the Alexandria database.

The structure in extended XYZ format:
```
10
Lattice="9.315 -2.121 0.000 9.315 2.121 0.000 -2.550 0.000 7.982" Properties=species:S:1:pos:R:3 pbc="T T T"
Nd -0.585 0.000 2.038
Nd 3.701 0.000 6.925
Nd 12.380 0.000 1.057
Nd 16.666 0.000 5.944
Se 0.794 0.000 6.936
Se 2.148 0.000 2.783
Se 8.040 0.000 3.991
Se 13.933 0.000 5.199
Se 15.287 0.000 1.045
S 9.315 0.000 0.000
```

***

Entry 11:
The following is a PBE calculation of a relaxed structure of Nd3Se3S, from the Alexandria database.

The structure in extended XYZ format:
```
14
Lattice="4.383 -6.137 0.000 4.383 6.137 0.000 -0.018 0.000 7.639" Properties=species:S:1:pos:R:3 pbc="T T T"
Nd 0.559 0.000 2.160
Nd 3.202 1.869 6.088
Nd 5.546 1.869 1.551
Nd 3.202 -1.869 6.088
Nd 5.546 -1.869 1.551
Nd 8.189 0.000 5.480
Se 4.383 4.152 0.000
Se 4.374 3.364 3.820
Se 3.205 0.000 1.006
Se 5.543 0.000 6.633
Se 4.374 -3.364 3.820
Se 4.383 -4.152 0.000
S 2.073 0.000 4.517
S 6.675 0.000 3.123
```

***

Entry 12:
The following is a PBE calculation of a relaxed structure of Nd6SiSe3S2, from the Alexandria database.

The structure in extended XYZ format:
```
12
Lattice="9.190 -2.085 0.000 9.190 2.085 0.000 -2.090 0.000 8.166" Properties=species:S:1:pos:R:3 pbc="T T T"
Nd -0.443 0.000 1.977
Nd 5.170 0.000 3.498
Nd 4.316 0.000 7.422
Nd 11.974 0.000 0.744
Nd 11.120 0.000 4.669
Nd 16.733 0.000 6.189
Si 9.190 0.000 0.000
Se 1.335 0.000 6.786
Se 8.145 0.000 4.083
Se 14.955 0.000 1.380
S 2.388 0.000 2.725
S 13.901 0.000 5.442
```

***

Number 1: uncorrected energy -356.76 eV per cell. Number 2: uncorrected energy -62.02 eV per cell. Number 3: uncorrected energy -71.19 eV per cell. Number 4: uncorrected energy -75.53 eV per cell. Number 5: uncorrected energy -48.53 eV per cell. Number 6: uncorrected energy -60.58 eV per cell. Number 7: uncorrected energy -92.12 eV per cell. Number 8: uncorrected energy -41.19 eV per cell. Number 9: uncorrected energy -62.38 eV per cell. Number 10: uncorrected energy -58.75 eV per cell. Number 11: uncorrected energy -81.49 eV per cell. Number 12: uncorrected energy -73.74 eV per cell.